Record 1
Sr4LiMn2Cu3S4O4: relaxed, PBE+U.

Cell and atoms, written as POSCAR:
```
Sr4LiMn2Cu3S4O4
1.0
5.856 -0.047 -0.004
-0.428 6.294 0.041
-2.729 -0.400 8.469
Cu Mn O S Sr Li
3 2 4 4 4 1
Direct
0.977 0.294 0.525
0.495 0.278 0.503
0.049 0.704 0.468
0.055 0.928 0.072
0.502 0.503 0.997
0.756 0.327 0.946
0.269 0.176 0.017
0.710 0.810 0.990
0.224 0.684 0.014
0.162 0.006 0.360
0.789 0.025 0.618
0.683 0.484 0.332
0.314 0.508 0.649
0.430 0.032 0.809
0.606 0.962 0.230
0.845 0.616 0.776
0.104 0.427 0.183
0.972 0.205 0.861
```

The calculated volume is 312.0 Å³ per cell. The calculation puts the energy relative to the lowest polymorph listed for this composition at 74 meV/atom.

---

Record 2
Li4Mn3Cu3Sn2O16: relaxed, PBE+U.

Cell and atoms, written as POSCAR:
```
Li4Mn3Cu3Sn2O16
1.0
-4.997 3.194 0.247
-0.355 -5.695 -1.365
-1.322 -2.164 9.399
O Sn Li Mn Cu
16 2 4 3 3
Direct
0.965 0.481 0.830
0.787 0.124 0.090
0.344 0.654 0.117
0.549 0.562 0.354
0.143 0.821 0.594
0.048 0.500 0.338
0.990 0.994 0.806
0.684 0.343 0.612
0.684 0.847 0.608
0.831 0.674 0.103
0.524 0.040 0.835
0.990 0.011 0.301
0.540 0.514 0.841
0.295 0.161 0.094
0.486 0.970 0.338
0.152 0.312 0.600
0.336 0.661 0.490
0.649 0.333 0.993
0.686 0.335 0.395
0.003 0.999 0.489
0.336 0.675 0.899
0.983 0.993 0.995
0.658 0.832 0.217
0.832 0.663 0.715
0.830 0.169 0.716
0.340 0.172 0.713
0.170 0.335 0.212
0.164 0.825 0.215
```

The density of states at the Fermi level is 0.17 states/eV per atom. The calculated volume is 297.0 Å³ per cell. The total DFT energy (no corrections) comes out at -167.772 eV per cell.

---

Record 3
Li4Ti3Mn3Cu2O16: relaxed, PBE+U.

Cell and atoms, written as POSCAR:
```
Li4Ti3Mn3Cu2O16
1.0
5.903 0.017 -0.004
3.025 5.069 -0.004
-0.002 -0.001 9.742
Ti O Mn Li Cu
3 16 3 4 2
Direct
0.685 0.192 0.212
0.809 0.809 0.715
0.192 0.685 0.212
0.135 0.135 0.614
0.493 0.493 0.822
0.057 0.499 0.336
0.866 0.866 0.108
0.979 0.979 0.813
0.645 0.645 0.608
0.499 0.057 0.336
0.341 0.864 0.105
0.495 0.942 0.834
0.942 0.495 0.834
0.864 0.341 0.105
0.508 0.508 0.318
0.661 0.140 0.605
0.347 0.347 0.106
0.026 0.026 0.315
0.140 0.661 0.605
0.808 0.315 0.715
0.315 0.808 0.715
0.190 0.190 0.218
0.679 0.679 0.394
0.027 0.027 0.993
0.317 0.317 0.893
0.985 0.985 0.497
0.329 0.329 0.491
0.670 0.670 0.989
```

The calculated volume is 291.0 Å³ per cell. The total DFT energy (no corrections) comes out at -194.753 eV per cell.

---

Record 4
Li4Mn3V3Cu2O16: relaxed, PBE+U.

Cell and atoms, written as POSCAR:
```
Li4Mn3V3Cu2O16
1.0
3.626 -3.404 -3.144
3.792 2.370 -3.824
7.321 0.544 6.414
O Li V Mn Cu
16 4 3 3 2
Direct
0.008 0.008 0.186
0.527 0.527 0.665
0.152 0.663 0.893
0.136 0.136 0.893
0.663 0.152 0.893
0.520 0.973 0.673
0.499 0.499 0.178
0.312 0.839 0.391
0.999 0.999 0.685
0.331 0.331 0.393
0.496 0.050 0.167
0.050 0.496 0.167
0.835 0.835 0.393
0.973 0.520 0.673
0.839 0.312 0.391
0.659 0.659 0.893
0.983 0.983 0.503
0.968 0.968 0.008
0.343 0.343 0.605
0.680 0.680 0.107
0.331 0.833 0.786
0.169 0.169 0.289
0.833 0.331 0.786
0.176 0.665 0.284
0.665 0.176 0.284
0.827 0.827 0.785
0.336 0.336 0.014
0.669 0.669 0.509
```

The density of states at the Fermi level is 0.10 states/eV per atom. The calculated volume is 288.8 Å³ per cell. The total DFT energy (no corrections) comes out at -184.722 eV per cell.